No. 1
A relaxed structure of HfIrOs2. Source: OQMD via LeMat-Bulk, functional PBE-GGA.

Lattice parameters (Å, degrees): 6.3485 6.3485 6.3485 90.00 90.00 90.00
Last column: nearest neighbours and their distance in Å.
Space group F-43m (No. 216)
Inequivalent atoms, fractional coordinates:
Hf  0.0000  0.0000  0.0000 [4 per cell]  4 Os 2.75, 4 Ir 2.75
Ir  0.2500  0.2500  0.7500 [4 per cell]  4 Hf 2.75, 4 Os 2.75
Os  0.0000  0.0000  0.5000 [4 per cell]  4 Os 2.75, 4 Ir 2.75
Os  0.2500  0.2500  0.2500 [4 per cell]  4 Hf 2.75, 4 Os 2.75

Properties
Formation enthalpy at 0 K: 0.139 eV per atom



No. 2
A relaxed structure of Hf2IrOs. Source: OQMD via LeMat-Bulk, functional PBE-GGA.

Lattice parameters (Å, degrees): 6.4830 6.4830 6.4830 90.00 90.00 90.00
Last column: nearest neighbours and their distance in Å.
Space group F-43m (No. 216)
Inequivalent atoms, fractional coordinates:
Hf  0.0000  0.0000  0.0000 [4 per cell]  4 Hf 2.81, 4 Ir 2.81
Hf  0.2500  0.2500  0.2500 [4 per cell]  4 Os 2.81, 4 Hf 2.81
Ir  0.2500  0.2500  0.7500 [4 per cell]  4 Hf 2.81, 4 Os 2.81
Os  0.0000  0.0000  0.5000 [4 per cell]  4 Ir 2.81, 4 Hf 2.81

Properties
Formation enthalpy at 0 K: -0.213 eV per atom



No. 3
A relaxed structure of HfIr2Os. Source: OQMD via LeMat-Bulk, functional PBE-GGA.

Lattice parameters (Å, degrees): 6.3564 6.3564 6.3564 90.00 90.00 90.00
Last column: nearest neighbours and their distance in Å.
Space group F-43m (No. 216)
Inequivalent atoms, fractional coordinates:
Hf  0.0000  0.0000  0.0000 [4 per cell]  4 Os 2.75, 4 Ir 2.75
Ir  0.0000  0.0000  0.5000 [4 per cell]  4 Ir 2.75, 4 Os 2.75
Ir  0.2500  0.2500  0.2500 [4 per cell]  4 Hf 2.75, 4 Ir 2.75
Os  0.2500  0.2500  0.7500 [4 per cell]  4 Ir 2.75, 4 Hf 2.75

Properties
Formation enthalpy at 0 K: -0.016 eV per atom



No. 4
A relaxed structure of Hf3PIr. Source: OQMD via LeMat-Bulk, functional PBE-GGA.

Lattice parameters (Å, degrees): 3.5015 11.8591 9.4068 90.00 90.00 90.00
Last column: nearest neighbours and their distance in Å.
Space group Cmcm (No. 63)
Inequivalent atoms, fractional coordinates:
Hf  0.0000  0.0749  0.2500 [4 per cell]  2 P 2.51, 2 Ir 2.70
Hf  0.0000  0.3520  0.0722 [8 per cell]  2 P 2.57, 2 Ir 2.72
P  0.0000  0.0000  0.0000 [4 per cell]  6 Hf 2.51-2.57
Ir  0.0000  0.2523  0.7500 [4 per cell]  6 Hf 2.70-2.72

Properties
VASP energy: -9.738 eV/atom